No. 1
Computed, not measured: crystalline TiZnNiPd at its relaxed geometry at the PBE-GGA level of DFT.

Unit cell a=3.8841 b=3.8841 c=7.3472 alpha=90.00 beta=90.00 gamma=90.00
Atoms (fractional coordinates):
Ti 0.0000 0.0000 0.0000
Ti 0.5000 0.5000 0.5000
Zn 0.0000 0.0000 0.5000
Zn 0.5000 0.5000 0.0000
Ni 0.0000 0.5000 0.7500
Ni 0.5000 0.0000 0.2500
Pd 0.0000 0.5000 0.2500
Pd 0.5000 0.0000 0.7500

final energy: -5.51 eV/atom
DFT formation energy: -475 meV/atom
crystal system: tetragonal
distance to the lowest polymorph of the same formula: 0.0 meV per atom
SG: No. 119

=====

No. 2
Computed, not measured: crystalline H2SI at its relaxed geometry at the PBE-GGA level of DFT.

Unit cell a=7.0687 b=6.8703 c=7.3236 alpha=90.00 beta=90.00 gamma=90.00
Atoms (fractional coordinates):
H 0.1411 0.0458 0.0000
H 0.1411 0.9542 0.5000
H 0.3589 0.4542 0.5000
H 0.3589 0.5458 0.0000
H 0.6411 0.4542 0.5000
H 0.6411 0.5458 0.0000
H 0.8589 0.0458 0.0000
H 0.8589 0.9542 0.5000
S 0.0000 0.0253 0.6075
S 0.0000 0.9747 0.1075
S 0.5000 0.4747 0.1075
S 0.5000 0.5253 0.6075
I 0.0000 0.3898 0.3313
I 0.0000 0.6102 0.8313
I 0.5000 0.1102 0.8313
I 0.5000 0.8898 0.3313

final energy: -3.07 eV/atom
crystal system: orthorhombic
distance to the lowest polymorph of the same formula: 95.1 meV per atom
SG: No. 36

=====

No. 3
Computed, not measured: crystalline NdMg2AlAg2 at its relaxed geometry at the PBE-GGA level of DFT.

Unit cell a=5.1712 b=5.1712 c=11.3047 alpha=90.00 beta=90.00 gamma=90.00
Atoms (fractional coordinates):
Nd 0.0000 0.0000 0.0000
Nd 0.5000 0.5000 0.5000
Mg 0.0000 0.5000 0.2500
Mg 0.0000 0.5000 0.7500
Mg 0.5000 0.0000 0.2500
Mg 0.5000 0.0000 0.7500
Al 0.0000 0.0000 0.5000
Al 0.5000 0.5000 0.0000
Ag 0.0000 0.0000 0.2830
Ag 0.0000 0.0000 0.7170
Ag 0.5000 0.5000 0.2170
Ag 0.5000 0.5000 0.7830

final energy: -2.84 eV/atom
DFT formation energy: 58 meV/atom
crystal system: tetragonal
SG: No. 139

=====

Which of these has the lowest final energy?
TiZnNiPd

=====

Which formula does entry 1 have?
TiZnNiPd

=====

Copy entry 2 word for word.
Computed, not measured: crystalline H2SI at its relaxed geometry at the PBE-GGA level of DFT.

Unit cell a=7.0687 b=6.8703 c=7.3236 alpha=90.00 beta=90.00 gamma=90.00
Atoms (fractional coordinates):
H 0.1411 0.0458 0.0000
H 0.1411 0.9542 0.5000
H 0.3589 0.4542 0.5000
H 0.3589 0.5458 0.0000
H 0.6411 0.4542 0.5000
H 0.6411 0.5458 0.0000
H 0.8589 0.0458 0.0000
H 0.8589 0.9542 0.5000
S 0.0000 0.0253 0.6075
S 0.0000 0.9747 0.1075
S 0.5000 0.4747 0.1075
S 0.5000 0.5253 0.6075
I 0.0000 0.3898 0.3313
I 0.0000 0.6102 0.8313
I 0.5000 0.1102 0.8313
I 0.5000 0.8898 0.3313

final energy: -3.07 eV/atom
crystal system: orthorhombic
distance to the lowest polymorph of the same formula: 95.1 meV per atom
SG: No. 36

=====

Which value of final energy does entry 1 give?
-5.51 eV/atom